1.
This record from Alexandria via LeMat-Bulk describes a geometry-optimized Hf2ZrAl3 structure. The functional is PBE-GGA.

Properties
ΔE_f, meV per atom: -265
Space-group type: Cmmm (65)

Unit cell a=8.013 b=8.013 c=2.979 alpha=90.00 beta=90.00 gamma=143.15
Fractional positions:
Hf 0.168 0.832 0.000
Hf 0.832 0.168 0.000
Zr 0.500 0.500 0.000
Al 0.000 0.000 0.500
Al 0.333 0.667 0.500
Al 0.667 0.333 0.500



2.
This record from Alexandria via LeMat-Bulk describes a geometry-optimized ScMn2TlAu structure. The functional is PBE-GGA.

Properties
ΔE_f, meV per atom: 1150
Space-group type: P4/mmm (123)

Unit cell a=4.668 b=4.668 c=5.463 alpha=90.00 beta=90.00 gamma=90.00
Fractional positions:
Sc 0.000 0.000 0.000
Mn 0.000 0.500 0.000
Mn 0.500 0.000 0.000
Tl 0.000 0.000 0.500
Au 0.500 0.500 0.500



3.
This record from Alexandria via LeMat-Bulk describes a geometry-optimized TbNdCuRh structure. The functional is PBE-GGA.

Properties
ΔE_f, meV per atom: -513
Energy relative to the lowest polymorph listed for this composition, eV per formula unit: 0.00
Space-group type: Amm2 (38)

Unit cell a=4.431 b=5.623 c=5.623 alpha=40.20 beta=90.00 gamma=90.00
Fractional positions:
Tb 0.000 0.000 0.000
Nd 0.500 0.723 0.723
Cu 0.000 0.291 0.291
Rh 0.500 0.446 0.446



4.
This record from Alexandria via LeMat-Bulk describes a geometry-optimized BeRe2 structure. The functional is PBE-GGA.

Properties
ΔE_f, meV per atom: 62
Energy relative to the lowest polymorph listed for this composition, eV per formula unit: 1.00
Space-group type: Cm (8)

Unit cell a=4.695 b=4.695 c=5.985 alpha=101.08 beta=101.08 gamma=37.33
Fractional positions:
Be 0.000 0.000 0.000
Be 0.744 0.744 0.420
Re 0.064 0.064 0.613
Re 0.357 0.357 0.740
Re 0.430 0.430 0.259
Re 0.705 0.705 0.009